[1]
DFT (PBEsol) results for a relaxed TmMn6InSn5 crystal.

```
TmMn6InSn5
1.0
5.347 0.000 0.000
-2.674 4.631 0.000
0.000 0.000 8.902
Sn Mn In Tm
5 6 1 1
Direct
0.000 0.000 0.668 Sn
0.667 0.333 0.000 Sn
0.000 0.000 0.332 Sn
0.667 0.333 0.500 Sn
0.333 0.667 0.000 Sn
0.999 0.499 0.754 Mn
0.501 0.499 0.754 Mn
0.501 0.001 0.754 Mn
0.501 0.499 0.246 Mn
0.501 0.001 0.246 Mn
0.999 0.499 0.246 Mn
0.333 0.667 0.500 In
0.000 0.000 0.000 Tm
```

Output
total magnetization = 13.2 Bohr magnetons per cell
E_form = -98 meV per atom
space-group type = P-6m2, No. 187

---

[2]
DFT (PBEsol) results for a relaxed SrMnIn2 crystal.

```
SrMnIn2
1.0
3.707 0.000 0.000
0.000 3.707 0.000
0.000 0.000 7.436
In Sr Mn
2 1 1
Direct
0.500 0.500 0.286 In
0.000 0.000 0.045 In
0.500 0.500 0.738 Sr
0.000 0.000 0.430 Mn
```

Output
total magnetization = 3.9 Bohr magnetons per cell
E_form = 181 meV per atom
space-group type = P4mm, No. 99

---

[3]
DFT (PBEsol) results for a relaxed SrMnIn crystal.

```
SrMnIn
1.0
-2.367 -2.684 -0.558
2.682 -2.420 0.261
-1.068 2.160 5.890
In Mn Sr
1 1 1
Direct
0.037 0.037 0.073 In
0.631 0.631 0.261 Mn
0.333 0.333 0.666 Sr
```

Output
total magnetization = 3.7 Bohr magnetons per cell
E_form = 234 meV per atom
space-group type = I4mm, No. 107

---

[4]
DFT (PBEsol) results for a relaxed SrMn2In crystal.

```
SrMn2In
1.0
3.212 0.000 0.000
1.606 2.782 0.000
1.606 0.927 9.597
Sr Mn In
1 2 1
Direct
0.496 0.496 0.513 Sr
0.004 0.004 0.988 Mn
0.737 0.737 0.788 Mn
0.263 0.263 0.212 In
```

Output
total magnetization = 7.0 Bohr magnetons per cell
E_form = 742 meV per atom
space-group type = R3m, No. 160

---

Calculated total energy
In order: -89.02 -16.84 -13.88 -21.38
Unit: eV per cell